No. 1
! KZnTe2I GGA-PBEsol optimized geometry; values from VASP
! **Magnetization**: 0.00 μB/f.u.
! **Crystal system**: tetragonal
! **Space-group type**: P4/mmm
! **E_form (uncorrected)**: -29.5 kJ per mole of atoms
! **Fermi-level density of states**: 5.29 states/eV/f.u.
&SYSTEM
  ibrav = 0, nat = 5, ntyp = 4
/
ATOMIC_SPECIES
K 39.10 K.upf
Zn 65.41 Zn.upf
Te 127.60 Te.upf
I 126.90 I.upf
CELL_PARAMETERS angstrom
5.2354 0.0000 0.0000
0.0000 5.2354 0.0000
0.0000 0.0000 6.1370
ATOMIC_POSITIONS crystal
K 0.0000 0.0000 0.0000
Zn 0.5000 0.5000 0.5000
Te 0.0000 0.5000 0.5000
Te 0.5000 0.0000 0.5000
I 0.5000 0.5000 0.0000

=====

No. 2
! K2NaSbI6 GGA-PBEsol optimized geometry; values from VASP
! **Magnetization**: 0.00 μB/f.u.
! **Crystal system**: cubic
! **Space-group type**: Fm-3m
! **E_form (uncorrected)**: -85.4 kJ per mole of atoms
! **Fermi-level density of states**: 0.00 states/eV/f.u.
&SYSTEM
  ibrav = 0, nat = 10, ntyp = 4
/
ATOMIC_SPECIES
K 39.10 K.upf
Na 22.99 Na.upf
Sb 121.76 Sb.upf
I 126.90 I.upf
CELL_PARAMETERS angstrom
0.0000 6.0096 6.0096
6.0096 0.0000 6.0096
6.0096 6.0096 0.0000
ATOMIC_POSITIONS crystal
K 0.2500 0.2500 0.2500
K 0.7500 0.7500 0.7500
Na 0.0000 0.0000 0.0000
Sb 0.5000 0.5000 0.5000
I 0.2532 0.2532 0.7468
I 0.2532 0.7468 0.2532
I 0.2532 0.7468 0.7468
I 0.7468 0.2532 0.2532
I 0.7468 0.2532 0.7468
I 0.7468 0.7468 0.2532

=====

No. 3
! SiNi2Te GGA-PBEsol optimized geometry; values from VASP
! **Magnetization**: 0.00 μB/f.u.
! **Crystal system**: tetragonal
! **Space-group type**: P4/mmm
! **E_form (uncorrected)**: -2.3 kJ per mole of atoms
! **Fermi-level density of states**: 2.42 states/eV/f.u.
&SYSTEM
  ibrav = 0, nat = 4, ntyp = 3
/
ATOMIC_SPECIES
Si 28.09 Si.upf
Ni 58.69 Ni.upf
Te 127.60 Te.upf
CELL_PARAMETERS angstrom
2.9226 0.0000 0.0000
0.0000 2.9226 0.0000
0.0000 0.0000 6.8073
ATOMIC_POSITIONS crystal
Si 0.0000 0.0000 0.0000
Ni 0.5000 0.5000 0.1826
Ni 0.5000 0.5000 0.8174
Te 0.0000 0.0000 0.5000

=====

No. 4
! Al2AsP GGA-PBEsol optimized geometry; values from VASP
! **Formation energy**: 0.088 eV/atom
! **Magnetization**: 0.00 μB/f.u.
! **Crystal system**: orthorhombic
! **Space-group type**: Pmmm
! **E above lowest polymorph**: 358 meV/atom
! **Fermi-level density of states**: 1.77 states/eV/f.u.
&SYSTEM
  ibrav = 0, nat = 4, ntyp = 3
/
ATOMIC_SPECIES
Al 26.98 Al.upf
As 74.92 As.upf
P 30.97 P.upf
CELL_PARAMETERS angstrom
3.5276 0.0000 0.0000
0.0000 3.6179 0.0000
0.0000 0.0000 5.3409
ATOMIC_POSITIONS crystal
Al 0.0000 0.0000 0.0000
Al 0.0000 0.5000 0.5000
As 0.5000 0.0000 0.5000
P 0.5000 0.5000 0.0000

=====

No. 5
! Ta2ZnAu GGA-PBEsol optimized geometry; values from VASP
! **Formation energy**: -0.091 eV/atom
! **Magnetization**: 0.00 μB/f.u.
! **Crystal system**: orthorhombic
! **Space-group type**: Cmm2
! **Fermi-level density of states**: 2.34 states/eV/f.u.
&SYSTEM
  ibrav = 0, nat = 4, ntyp = 3
/
ATOMIC_SPECIES
Ta 180.95 Ta.upf
Zn 65.41 Zn.upf
Au 196.97 Au.upf
CELL_PARAMETERS angstrom
1.8207 -2.1260 0.0000
1.8207 2.1260 0.0000
0.0000 0.0000 8.4961
ATOMIC_POSITIONS crystal
Ta 0.0000 0.0000 0.0000
Ta 0.5000 0.5000 0.2647
Zn 0.5000 0.5000 0.7554
Au 0.0000 0.0000 0.5203

=====

No. 6
! CrCCl2 GGA-PBEsol optimized geometry; values from VASP
! **Magnetization**: 3.09 μB/f.u.
! **Crystal system**: cubic
! **Space-group type**: Fm-3m
! **E_form (uncorrected)**: 138.6 kJ per mole of atoms
! **Fermi-level density of states**: 5.50 states/eV/f.u.
&SYSTEM
  ibrav = 0, nat = 4, ntyp = 3
/
ATOMIC_SPECIES
Cr 52.00 Cr.upf
C 12.01 C.upf
Cl 35.45 Cl.upf
CELL_PARAMETERS angstrom
0.0000 3.0448 3.0448
3.0448 0.0000 3.0448
3.0448 3.0448 0.0000
ATOMIC_POSITIONS crystal
Cr 0.0000 0.0000 0.0000
C 0.5000 0.5000 0.5000
Cl 0.2500 0.2500 0.2500
Cl 0.7500 0.7500 0.7500

=====

No. 7
! Ti8Cu3S16 GGA-PBEsol optimized geometry; values from VASP
! **Magnetization**: 0.00 μB/f.u.
! **Crystal system**: monoclinic
! **Space-group type**: C2/m
! **E_form (uncorrected)**: -118.7 kJ per mole of atoms
! **Fermi-level density of states**: 9.60 states/eV/f.u.
&SYSTEM
  ibrav = 0, nat = 27, ntyp = 3
/
ATOMIC_SPECIES
Ti 47.87 Ti.upf
Cu 63.55 Cu.upf
S 32.06 S.upf
CELL_PARAMETERS angstrom
5.7468 -6.7087 0.0000
5.7468 6.7087 0.0000
-0.0065 0.0000 5.7987
ATOMIC_POSITIONS crystal
Ti 0.0000 0.5000 0.5000
Ti 0.1265 0.3768 0.0009
Ti 0.2473 0.2473 0.4955
Ti 0.3768 0.1265 0.0009
Ti 0.5000 0.0000 0.5000
Ti 0.6232 0.8735 0.9991
Ti 0.7527 0.7527 0.5045
Ti 0.8735 0.6232 0.9991
Cu 0.1320 0.8680 0.0000
Cu 0.5000 0.5000 0.5000
Cu 0.8680 0.1320 0.0000
S 0.0028 0.7511 0.6643
S 0.1222 0.1222 0.8302
S 0.1278 0.6243 0.1692
S 0.2489 0.9972 0.3357
S 0.2499 0.5009 0.6675
S 0.3757 0.8722 0.8308
S 0.3766 0.3766 0.1624
S 0.4991 0.7501 0.3325
S 0.5009 0.2499 0.6675
S 0.6234 0.6234 0.8376
S 0.6243 0.1278 0.1692
S 0.7501 0.4991 0.3325
S 0.7511 0.0028 0.6643
S 0.8722 0.3757 0.8308
S 0.8778 0.8778 0.1698
S 0.9972 0.2489 0.3357

=====

No. 8
! Na6Fe2C4SO16 GGA-PBEsol optimized geometry; values from VASP
! **Magnetization**: 8.00 μB/f.u.
! **Crystal system**: cubic
! **Space-group type**: Fd-3
! **E_form (uncorrected)**: -151.6 kJ per mole of atoms
! **Fermi-level density of states**: 13.75 states/eV/f.u.
&SYSTEM
  ibrav = 0, nat = 58, ntyp = 5
/
ATOMIC_SPECIES
Na 22.99 Na.upf
Fe 55.84 Fe.upf
C 12.01 C.upf
S 32.06 S.upf
O 16.00 O.upf
CELL_PARAMETERS angstrom
0.0000 6.9441 6.9441
6.9441 0.0000 6.9441
6.9441 6.9441 0.0000
ATOMIC_POSITIONS crystal
Na 0.0920 0.0920 0.6580
Na 0.0920 0.6580 0.0920
Na 0.0920 0.6580 0.6580
Na 0.3420 0.3420 0.9080
Na 0.3420 0.9080 0.3420
Na 0.3420 0.9080 0.9080
Na 0.6580 0.0920 0.0920
Na 0.6580 0.0920 0.6580
Na 0.6580 0.6580 0.0920
Na 0.9080 0.3420 0.3420
Na 0.9080 0.3420 0.9080
Na 0.9080 0.9080 0.3420
Fe 0.0000 0.5000 0.5000
Fe 0.5000 0.0000 0.5000
Fe 0.5000 0.5000 0.0000
Fe 0.5000 0.5000 0.5000
C 0.2814 0.2814 0.2814
C 0.2814 0.2814 0.6559
C 0.2814 0.6559 0.2814
C 0.3441 0.7186 0.7186
C 0.6559 0.2814 0.2814
C 0.7186 0.3441 0.7186
C 0.7186 0.7186 0.3441
C 0.7186 0.7186 0.7186
S 0.1250 0.1250 0.1250
S 0.8750 0.8750 0.8750
O 0.0630 0.0630 0.0630
O 0.0630 0.0630 0.3111
O 0.0630 0.3111 0.0630
O 0.1382 0.3058 0.3985
O 0.1382 0.3985 0.6576
O 0.1382 0.6576 0.3058
O 0.3058 0.1382 0.6576
O 0.3058 0.3985 0.1382
O 0.3058 0.6576 0.3985
O 0.3111 0.0630 0.0630
O 0.3424 0.6015 0.6942
O 0.3424 0.6942 0.8618
O 0.3424 0.8618 0.6015
O 0.3985 0.1382 0.3058
O 0.3985 0.3058 0.6576
O 0.3985 0.6576 0.1382
O 0.6015 0.3424 0.8618
O 0.6015 0.6942 0.3424
O 0.6015 0.8618 0.6942
O 0.6576 0.1382 0.3985
O 0.6576 0.3058 0.1382
O 0.6576 0.3985 0.3058
O 0.6889 0.9370 0.9370
O 0.6942 0.3424 0.6015
O 0.6942 0.6015 0.8618
O 0.6942 0.8618 0.3424
O 0.8618 0.3424 0.6942
O 0.8618 0.6015 0.3424
O 0.8618 0.6942 0.6015
O 0.9370 0.6889 0.9370
O 0.9370 0.9370 0.6889
O 0.9370 0.9370 0.9370

=====

Question: Which of these has the highest magnetization?
Answer: Na6Fe2C4SO16

=====

Repeat the fourth record exactly.
! Al2AsP GGA-PBEsol optimized geometry; values from VASP
! **Formation energy**: 0.088 eV/atom
! **Magnetization**: 0.00 μB/f.u.
! **Crystal system**: orthorhombic
! **Space-group type**: Pmmm
! **E above lowest polymorph**: 358 meV/atom
! **Fermi-level density of states**: 1.77 states/eV/f.u.
&SYSTEM
  ibrav = 0, nat = 4, ntyp = 3
/
ATOMIC_SPECIES
Al 26.98 Al.upf
As 74.92 As.upf
P 30.97 P.upf
CELL_PARAMETERS angstrom
3.5276 0.0000 0.0000
0.0000 3.6179 0.0000
0.0000 0.0000 5.3409
ATOMIC_POSITIONS crystal
Al 0.0000 0.0000 0.0000
Al 0.0000 0.5000 0.5000
As 0.5000 0.0000 0.5000
P 0.5000 0.5000 0.0000